Record 1
Computed, not measured: crystalline K3AgHg at its relaxed geometry at the GGA-PBE level of DFT.

```
10
Lattice="-2.059 -2.116 -3.933 5.762 -6.130 3.371 -7.302 -3.601 5.760" Properties=species:S:1:pos:R:3 pbc="T T T"
K -0.286 -8.551 4.860
K -0.860 -6.814 1.153
K -5.594 -5.851 3.112
K 2.283 -3.987 1.061
Ag 2.443 -7.558 2.904
K -1.936 -2.748 2.594
K 3.358 -8.055 -0.382
Ag -1.020 -3.247 -0.692
Hg -3.515 -8.565 3.483
Hg -2.366 -5.839 4.490
```

## Properties
SG: P-1 (2)
volume: 428 Å³ per cell
final energy: -1.36 eV per atom
mass density: 3.306 Mg/m³

Record 2
Computed, not measured: crystalline Sm5As4Br at its relaxed geometry at the GGA-PBE level of DFT.

```
10
Lattice="4.147 0.000 -0.800 -0.307 5.725 -1.589 0.012 0.021 11.210" Properties=species:S:1:pos:R:3 pbc="T T T"
Sm 2.506 0.645 1.841
Br 0.000 0.000 0.000
As 1.554 2.320 8.056
Sm -0.153 2.863 -0.795
Sm 3.237 1.736 5.630
As 3.071 4.580 4.771
Sm 1.346 5.101 6.979
As 2.298 3.427 0.764
As 0.781 1.166 4.049
Sm 0.616 4.010 3.191
```

## Properties
SG: Immm (71)
volume: 266 Å³ per cell
energy relative to the elements, uncorrected: -1.499 eV per atom
mass density: 7.054 Mg/m³

Record 3
Computed, not measured: crystalline FeAsRh2 at its relaxed geometry at the GGA-PBE level of DFT.

```
4
Lattice="-0.584 -2.317 -3.576 3.276 -2.225 -1.679 0.006 -4.297 0.197" Properties=species:S:1:pos:R:3 pbc="T T T"
Rh 0.000 0.000 0.000
Rh 0.675 -2.210 -1.265
Fe 2.024 -6.629 -3.794
As 1.349 -4.419 -2.529
```

## Properties
SG: F-43m (216)
volume: 56 Å³ per cell
final energy: -6.92 eV per atom
mass density: 9.934 Mg/m³

Record 4
Computed, not measured: crystalline BaSrAu4 at its relaxed geometry at the GGA-PBE level of DFT.

```
6
Lattice="4.490 0.002 1.651 2.093 5.891 1.231 0.220 -0.667 6.333" Properties=species:S:1:pos:R:3 pbc="T T T"
Sr 4.490 0.002 1.651
Ba 3.402 2.613 4.607
Au 4.770 2.901 7.818
Au 2.034 2.324 1.397
Au 5.386 5.058 6.141
Au 1.418 0.168 3.074
```

## Properties
SG: Immm (71)
volume: 167 Å³ per cell
final energy: -3.52 eV per atom
mass density: 10.087 Mg/m³